Ca2Nd4Sm3: relaxed, GGA-PBE.

Calculated values
**Magnetic moment**: 0.00 μB per cell
**Energy of formation**: 191 meV/atom
**E_tot**: -3.946 eV/atom

abc: 8.625 9.033 9.215
angles: 90.00 114.68 90.00
Fractional coordinates of all 18 atoms:
1 Ca 0.179 0.146 0.051
2 Ca 0.179 0.354 0.551
3 Ca 0.821 0.646 0.449
4 Ca 0.821 0.854 0.949
5 Nd 0.069 0.535 0.864
6 Nd 0.069 0.965 0.364
7 Nd 0.469 0.129 0.852
8 Nd 0.469 0.371 0.352
9 Nd 0.531 0.629 0.648
10 Nd 0.531 0.871 0.148
11 Nd 0.931 0.035 0.636
12 Nd 0.931 0.465 0.136
13 Sm 0.261 0.692 0.249
14 Sm 0.261 0.808 0.749
15 Sm 0.500 0.000 0.500
16 Sm 0.500 0.500 0.000
17 Sm 0.739 0.192 0.251
18 Sm 0.739 0.308 0.751

CaNd12Sm3: relaxed, GGA-PBE.

Calculated values
**Magnetic moment**: 0.00 μB per cell
**Energy of formation**: 26 meV/atom
**E_tot**: -4.560 eV/atom

abc: 5.209 5.209 20.793
angles: 90.00 90.00 90.00
Fractional coordinates of all 16 atoms:
1 Ca 0.000 0.000 0.000
2 Nd 0.000 0.500 0.129
3 Nd 0.000 0.500 0.376
4 Nd 0.000 0.500 0.624
5 Nd 0.000 0.500 0.871
6 Nd 0.500 0.000 0.129
7 Nd 0.500 0.000 0.376
8 Nd 0.500 0.000 0.624
9 Nd 0.500 0.000 0.871
10 Nd 0.500 0.500 0.000
11 Nd 0.500 0.500 0.250
12 Nd 0.500 0.500 0.500
13 Nd 0.500 0.500 0.750
14 Sm 0.000 0.000 0.251
15 Sm 0.000 0.000 0.500
16 Sm 0.000 0.000 0.749

Ca2Nd5Sm2: relaxed, GGA-PBE.

Calculated values
**Magnetic moment**: 0.00 μB per cell
**Energy of formation**: 114 meV/atom
**E_tot**: -4.029 eV/atom

abc: 10.154 10.154 9.164
angles: 99.57 99.57 20.59
Fractional coordinates of all 9 atoms:
1 Ca 0.068 0.068 0.188
2 Ca 0.932 0.932 0.812
3 Nd 0.264 0.264 0.834
4 Nd 0.394 0.394 0.161
5 Nd 0.500 0.500 0.500
6 Nd 0.606 0.606 0.839
7 Nd 0.736 0.736 0.166
8 Sm 0.323 0.323 0.482
9 Sm 0.677 0.677 0.518

CaNd5Sm3: relaxed, GGA-PBE.

Calculated values
**Magnetic moment**: 0.00 μB per cell
**Energy of formation**: 474 meV/atom
**E_tot**: -3.970 eV/atom

abc: 9.752 9.752 10.152
angles: 120.29 120.29 74.12
Fractional coordinates of all 18 atoms:
1 Ca 0.248 0.248 0.408
2 Ca 0.752 0.752 0.592
3 Nd 0.106 0.599 0.253
4 Nd 0.224 0.224 0.044
5 Nd 0.253 0.747 0.000
6 Nd 0.269 0.269 0.774
7 Nd 0.401 0.894 0.747
8 Nd 0.599 0.106 0.253
9 Nd 0.731 0.731 0.226
10 Nd 0.747 0.253 0.000
11 Nd 0.776 0.776 0.956
12 Nd 0.894 0.401 0.747
13 Sm 0.000 0.000 0.000
14 Sm 0.008 0.008 0.349
15 Sm 0.492 0.492 0.175
16 Sm 0.500 0.500 0.500
17 Sm 0.508 0.508 0.825
18 Sm 0.992 0.992 0.651

CaNd2Sm6: relaxed, GGA-PBE.

Calculated values
**Magnetic moment**: 0.00 μB per cell
**Energy of formation**: 32 meV/atom
**E_tot**: -4.396 eV/atom

abc: 7.367 9.142 9.736
angles: 103.20 100.88 90.04
Fractional coordinates of all 18 atoms:
1 Ca 0.213 0.333 0.354
2 Ca 0.787 0.667 0.646
3 Nd 0.380 0.334 0.016
4 Nd 0.420 0.996 0.166
5 Nd 0.580 0.004 0.834
6 Nd 0.620 0.666 0.984
7 Sm 0.045 0.328 0.688
8 Sm 0.086 0.004 0.836
9 Sm 0.122 0.667 0.984
10 Sm 0.249 0.991 0.503
11 Sm 0.286 0.670 0.651
12 Sm 0.452 0.671 0.315
13 Sm 0.548 0.329 0.685
14 Sm 0.714 0.330 0.349
15 Sm 0.751 0.009 0.497
16 Sm 0.878 0.333 0.016
17 Sm 0.914 0.996 0.164
18 Sm 0.955 0.672 0.312

CaNd12Sm7: relaxed, GGA-PBE.

Calculated values
**Magnetic moment**: 0.00 μB per cell
**Energy of formation**: 581 meV/atom
**E_tot**: -4.031 eV/atom

abc: 10.116 10.116 10.116
angles: 109.47 109.47 109.47
Fractional coordinates of all 20 atoms:
1 Ca 0.000 0.000 0.000
2 Nd 0.000 0.254 0.746
3 Nd 0.000 0.746 0.254
4 Nd 0.254 0.000 0.746
5 Nd 0.254 0.254 0.509
6 Nd 0.254 0.509 0.254
7 Nd 0.254 0.746 0.000
8 Nd 0.491 0.746 0.746
9 Nd 0.509 0.254 0.254
10 Nd 0.746 0.000 0.254
11 Nd 0.746 0.254 0.000
12 Nd 0.746 0.491 0.746
13 Nd 0.746 0.746 0.491
14 Sm 0.000 0.000 0.500
15 Sm 0.000 0.500 0.000
16 Sm 0.000 0.500 0.500
17 Sm 0.500 0.000 0.000
18 Sm 0.500 0.000 0.500
19 Sm 0.500 0.500 0.000
20 Sm 0.500 0.500 0.500

Ca2Nd5Sm6: relaxed, GGA-PBE.

Calculated values
**Magnetic moment**: 0.00 μB per cell
**Energy of formation**: 141 meV/atom
**E_tot**: -4.178 eV/atom

abc: 12.953 13.320 5.389
angles: 90.00 90.00 90.00
Fractional coordinates of all 26 atoms:
1 Ca 0.094 0.193 0.000
2 Ca 0.406 0.693 0.000
3 Ca 0.594 0.307 0.000
4 Ca 0.906 0.807 0.000
5 Nd 0.000 0.000 0.500
6 Nd 0.103 0.775 0.500
7 Nd 0.104 0.395 0.500
8 Nd 0.396 0.895 0.500
9 Nd 0.397 0.275 0.500
10 Nd 0.500 0.500 0.500
11 Nd 0.603 0.725 0.500
12 Nd 0.604 0.105 0.500
13 Nd 0.896 0.605 0.500
14 Nd 0.897 0.225 0.500
15 Sm 0.101 0.593 0.000
16 Sm 0.199 0.913 0.000
17 Sm 0.230 0.088 0.500
18 Sm 0.270 0.588 0.500
19 Sm 0.301 0.413 0.000
20 Sm 0.399 0.093 0.000
21 Sm 0.601 0.907 0.000
22 Sm 0.699 0.587 0.000
23 Sm 0.730 0.412 0.500
24 Sm 0.770 0.912 0.500
25 Sm 0.801 0.087 0.000
26 Sm 0.899 0.407 0.000

CaNd8Sm5: relaxed, GGA-PBE.

Calculated values
**Magnetic moment**: 0.00 μB per cell
**Energy of formation**: 227 meV/atom
**E_tot**: -4.326 eV/atom

abc: 8.707 8.707 8.707
angles: 110.98 110.98 106.49
Fractional coordinates of all 14 atoms:
1 Ca 0.000 0.000 0.000
2 Nd 0.084 0.670 0.762
3 Nd 0.175 0.278 0.752
4 Nd 0.330 0.092 0.414
5 Nd 0.526 0.423 0.248
6 Nd 0.577 0.825 0.103
7 Nd 0.678 0.916 0.586
8 Nd 0.722 0.474 0.897
9 Nd 0.908 0.322 0.238
10 Sm 0.215 0.616 0.185
11 Sm 0.384 0.569 0.599
12 Sm 0.431 0.030 0.815
13 Sm 0.750 0.250 0.500
14 Sm 0.970 0.785 0.401